(1)
# CoCuIrO4 | Alexandria via LeMat-Bulk | PBE with a Hubbard U | optimized geometry
# - Crystal system: orthorhombic
# - Total energy: -6.1038 eV/atom
# - Magnetic moment: 0.01 Bohr magnetons per cell
data_CoCuIrO4
_chemical_formula_sum 'Co2 Cu2 Ir2 O8'
_space_group_name_H-M_alt 'P 1'
_space_group_IT_number 1
_space_group_name_Hall 'P 1'
_cell_length_a 5.942
_cell_length_b 5.942
_cell_length_c 5.942
_cell_angle_alpha 121.83
_cell_angle_beta 116.82
_cell_angle_gamma 91.22
loop_
_atom_site_label
_atom_site_fract_x
_atom_site_fract_y
_atom_site_fract_z
Co1 0.500 0.000 0.000
Co2 0.500 0.500 0.500
Cu1 0.103 0.353 0.750
Cu2 0.897 0.647 0.250
Ir1 0.000 0.000 0.000
Ir2 0.500 0.000 0.500
O1 0.265 0.242 0.477
O2 0.265 0.787 0.023
O3 0.282 0.243 0.038
O4 0.295 0.757 0.538
O5 0.705 0.243 0.462
O6 0.718 0.757 0.962
O7 0.735 0.213 0.977
O8 0.735 0.758 0.523



(2)
# CoCuIrO6 | Alexandria via LeMat-Bulk | PBE with a Hubbard U | optimized geometry
# - Crystal system: trigonal
# - Total energy: -5.8888 eV/atom
# - Magnetic moment: 0.00 Bohr magnetons per cell
data_CoCuIrO6
_chemical_formula_sum 'Co2 Cu2 Ir2 O12'
_space_group_name_H-M_alt 'P 1'
_space_group_IT_number 1
_space_group_name_Hall 'P 1'
_cell_length_a 4.946
_cell_length_b 4.946
_cell_length_c 8.644
_cell_angle_alpha 90.00
_cell_angle_beta 90.00
_cell_angle_gamma 120.00
loop_
_atom_site_label
_atom_site_fract_x
_atom_site_fract_y
_atom_site_fract_z
Co1 0.333 0.667 0.250
Co2 0.667 0.333 0.750
Cu1 0.000 0.000 0.000
Cu2 0.000 0.000 0.500
Ir1 0.333 0.667 0.750
Ir2 0.667 0.333 0.250
O1 0.005 0.359 0.128
O2 0.005 0.646 0.372
O3 0.354 0.359 0.372
O4 0.354 0.995 0.128
O5 0.359 0.005 0.628
O6 0.359 0.354 0.872
O7 0.641 0.646 0.128
O8 0.641 0.995 0.372
O9 0.646 0.005 0.872
O10 0.646 0.641 0.628
O11 0.995 0.354 0.628
O12 0.995 0.641 0.872



(3)
# Co2CuIrO8 | Alexandria via LeMat-Bulk | PBE with a Hubbard U | optimized geometry
# - Crystal system: tetragonal
# - Total energy: -5.6026 eV/atom
# - Magnetic moment: 4.06 Bohr magnetons per cell
data_Co2CuIrO8
_chemical_formula_sum 'Co2 Cu1 Ir1 O8'
_space_group_name_H-M_alt 'P 1'
_space_group_IT_number 1
_space_group_name_Hall 'P 1'
_cell_length_a 5.535
_cell_length_b 5.535
_cell_length_c 5.535
_cell_angle_alpha 110.47
_cell_angle_beta 110.47
_cell_angle_gamma 107.49
loop_
_atom_site_label
_atom_site_fract_x
_atom_site_fract_y
_atom_site_fract_z
Co1 0.000 0.000 0.000
Co2 0.750 0.250 0.500
Cu1 0.250 0.750 0.500
Ir1 0.500 0.500 0.000
O1 0.150 0.450 0.701
O2 0.211 0.036 0.825
O3 0.211 0.387 0.175
O4 0.550 0.251 0.701
O5 0.550 0.850 0.299
O6 0.613 0.789 0.825
O7 0.749 0.450 0.299
O8 0.964 0.789 0.175